Record 1
YReTeI2 | the Alexandria database | GGA-PBE | relaxed; density = 5140 kg/m³; ΔE_f (raw) = 0.59 eV per atom; magnetic moment = 6.0 μB/f.u.; energy above the lowest structure with this stoichiometry = 108.8 meV/atom
1.0
-1.755 2.083 5.316
0.996 -5.365 2.431
5.595 1.593 1.223
Re I Te Y
1 2 1 1
Direct
0.500 0.500 0.500 Re
0.500 0.000 0.000 I
0.000 0.500 0.000 I
0.000 0.000 0.500 Te
0.000 0.000 0.000 Y

Record 2
ZrReTe2I | the Alexandria database | GGA-PBE | relaxed; density = 7428 kg/m³; ΔE_f (raw) = 0.91 eV per atom; magnetic moment = 2.4 μB/f.u.; energy above the lowest structure with this stoichiometry = 0.0 meV/atom
1.0
-0.153 -0.664 -5.142
0.010 -5.145 0.664
-5.477 0.010 0.161
I Te Zr Re
1 2 1 1
Direct
0.000 0.000 0.500 I
0.500 0.000 0.000 Te
0.000 0.500 0.000 Te
0.500 0.500 0.500 Zr
0.000 0.000 0.000 Re

Record 3
Th4ReI5 | the Alexandria database | GGA-PBE | relaxed; density = 7722 kg/m³; ΔE_f (raw) = -0.80 eV per atom; magnetic moment = 0.0 μB/f.u.
1.0
4.048 0.000 -0.881
-0.465 9.151 -2.135
0.083 0.090 10.113
I Th Re
5 4 1
Direct
0.167 0.349 0.335 I
0.500 0.500 0.000 I
0.825 0.180 0.651 I
0.175 0.820 0.349 I
0.833 0.651 0.665 I
0.001 0.799 0.002 Th
0.647 0.075 0.293 Th
0.999 0.201 0.998 Th
0.353 0.925 0.707 Th
0.500 0.000 0.000 Re